A geometry-optimized BaLiCu2H structure. Source: Alexandria via LeMat-Bulk, functional PBE.

a b c (Å): 6.155 6.155 7.634
angles (deg): 90.00 90.00 90.00
Sites, in units of the cell vectors:
Ba 0.000 0.000 0.000
Li 0.000 0.000 0.500
Cu 0.000 0.500 0.000
Cu 0.500 0.000 0.000
H 0.500 0.500 0.500

Values from the calculation:
DOS(E_F)   0.05 states/eV per atom
E   -1.663 eV/atom
V   57.84 A^3/atom


A geometry-optimized AcMg2Pd6 structure. Source: Alexandria via LeMat-Bulk, functional PBE.

a b c (Å): 7.967 7.967 7.967
angles (deg): 154.43 125.18 61.43
Sites, in units of the cell vectors:
Ac 0.000 0.000 0.000
Mg 0.360 0.860 0.500
Mg 0.640 0.140 0.500
Pd 0.007 0.318 0.689
Pd 0.325 0.500 0.825
Pd 0.371 0.682 0.689
Pd 0.629 0.318 0.311
Pd 0.675 0.500 0.175
Pd 0.993 0.682 0.311

Values from the calculation:
DOS(E_F)   0.72 states/eV per atom
Calculated formation energy   -0.4154 eV per atom
V   19.69 A^3/atom


A geometry-optimized Zn2SeBr structure. Source: Alexandria via LeMat-Bulk, functional PBE.

a b c (Å): 3.766 8.281 7.424
angles (deg): 90.00 90.00 90.00
Sites, in units of the cell vectors:
Zn 0.000 0.000 0.225
Zn 0.000 0.000 0.775
Zn 0.500 0.500 0.225
Zn 0.500 0.500 0.775
Se 0.000 0.500 0.000
Se 0.500 0.000 0.000
Br 0.000 0.500 0.500
Br 0.500 0.000 0.500

Values from the calculation:
DOS(E_F)   0.14 states/eV per atom
ΔE to the lowest computed polymorph   132.5 meV/atom
V   28.94 A^3/atom
Formation energy from raw total energies   -0.228 eV/atom